# 1
The following is a PBE-GGA calculation of a relaxed LiScTe3 crystal, from the Alexandria database.

Output
**E above lowest polymorph**: 0.348 eV/atom

Lattice parameters (Å, degrees): 5.5904 5.5904 5.5904 90.00 90.00 90.00
Closest atoms and distances in Å follow each position.
Space group Pm-3m (No. 221)
Symmetry-distinct sites (fractional):
Li: 0.0000 0.0000 0.0000 (multiplicity 1)  12 Te 3.95
Sc: 0.5000 0.5000 0.5000 (multiplicity 1)  6 Te 2.80
Te: 0.0000 0.5000 0.5000 (multiplicity 3)  2 Sc 2.80

# 2
The following is a PBE-GGA calculation of a relaxed InNiCl2 crystal, from the Alexandria database.

Output
**E above lowest polymorph**: 0.022 eV/atom

Lattice parameters (Å, degrees): 10.9871 3.3963 5.8124 90.00 121.77 90.00
Closest atoms and distances in Å follow each position.
Space group C2/m (No. 12)
Symmetry-distinct sites (fractional):
In: 0.0000 0.0000 0.0000 (multiplicity 2)  8 Cl 3.30-3.53, 4 Ni 3.37, 2 In 3.40
Ni: 0.0000 0.5000 0.5000 (multiplicity 2)  4 Cl 2.32
Cl: 0.1685 0.0000 0.6683 (multiplicity 4)  2 Ni 2.32

# 3
The following is a PBE-GGA calculation of a relaxed AlP2Cl crystal, from the Alexandria database.

Output
**E above lowest polymorph**: 0.443 eV/atom

Lattice parameters (Å, degrees): 3.3397 3.3397 6.5164 90.00 90.00 90.00
Closest atoms and distances in Å follow each position.
Space group P4/mmm (No. 123)
Symmetry-distinct sites (fractional):
Al: 0.0000 0.0000 0.0000 (multiplicity 1)  8 P 2.62
P: 0.5000 0.5000 0.1732 (multiplicity 2)  1 P 2.26
Cl: 0.0000 0.0000 0.5000 (multiplicity 1)  8 P 3.18, 2 Al 3.26, 4 Cl 3.34

Number 1: raw formation energy -475 meV per atom, calculated volume 175 Å³ per cell. Number 2: raw formation energy -451 meV per atom, calculated volume 184 Å³ per cell. Number 3: raw formation energy 142 meV per atom, calculated volume 73 Å³ per cell.